[1]
The following is a meta-GGA SCAN calculation of ZrBe13 at its PBEsol-relaxed geometry, from Alexandria via LeMat-Bulk.

a b c (Å): 7.0363 7.0363 7.0363
angles (deg): 60.00 60.00 60.00
Last column: nearest neighbours and their distance in Å.
Sites, in units of the cell vectors:
Zr: 0.2500 0.2500 0.2500  24 Be 2.91
Zr: 0.7500 0.7500 0.7500  24 Be 2.91
Be: 0.0000 0.0000 0.0000  12 Be 2.11
Be: 0.0615 0.2937 0.7063  10 Be 2.11-2.31
Be: 0.0615 0.7063 0.9385  10 Be 2.11-2.31
Be: 0.0615 0.9385 0.2937  10 Be 2.11-2.31
Be: 0.2063 0.4385 0.7937  10 Be 2.11-2.31
Be: 0.2063 0.5615 0.4385  10 Be 2.11-2.31
Be: 0.2063 0.7937 0.5615  10 Be 2.11-2.31
Be: 0.2937 0.0615 0.9385  10 Be 2.11-2.31
Be: 0.2937 0.7063 0.0615  10 Be 2.11-2.31
Be: 0.2937 0.9385 0.7063  10 Be 2.11-2.31
Be: 0.4385 0.2063 0.5615  10 Be 2.11-2.31
Be: 0.4385 0.5615 0.7937  10 Be 2.11-2.31
Be: 0.4385 0.7937 0.2063  10 Be 2.11-2.31
Be: 0.5000 0.5000 0.5000  12 Be 2.11
Be: 0.5615 0.2063 0.7937  10 Be 2.11-2.31
Be: 0.5615 0.4385 0.2063  10 Be 2.11-2.31
Be: 0.5615 0.7937 0.4385  10 Be 2.11-2.31
Be: 0.7063 0.0615 0.2937  10 Be 2.11-2.31
Be: 0.7063 0.2937 0.9385  10 Be 2.11-2.31
Be: 0.7063 0.9385 0.0615  10 Be 2.11-2.31
Be: 0.7937 0.2063 0.4385  10 Be 2.11-2.31
Be: 0.7937 0.4385 0.5615  10 Be 2.11-2.31
Be: 0.7937 0.5615 0.2063  10 Be 2.11-2.31
Be: 0.9385 0.0615 0.7063  10 Be 2.11-2.31
Be: 0.9385 0.2937 0.0615  10 Be 2.11-2.31
Be: 0.9385 0.7063 0.2937  10 Be 2.11-2.31

## Properties
Formation enthalpy at 0 K = -18.0 kJ per mole of atoms
Crystal system = cubic
SG = No. 226



[2]
The following is a meta-GGA SCAN calculation of ZrBe2 at its PBEsol-relaxed geometry, from Alexandria via LeMat-Bulk.

a b c (Å): 5.2630 5.2630 5.2630
angles (deg): 151.49 146.40 44.63
Last column: nearest neighbours and their distance in Å.
Sites, in units of the cell vectors:
Zr: 0.0000 0.0000 0.0000  2 Zr 2.59, 8 Be 2.78
Be: 0.3013 0.3013 0.0000  4 Be 2.23
Be: 0.6987 0.6987 0.0000  4 Be 2.23

## Properties
Formation enthalpy at 0 K = 2.4 kJ per mole of atoms
Crystal system = orthorhombic
SG = No. 71



[3]
The following is a meta-GGA SCAN calculation of ZrBe2 at its PBEsol-relaxed geometry, from Alexandria via LeMat-Bulk.

a b c (Å): 3.7946 3.7946 6.4049
angles (deg): 90.00 90.00 120.00
Last column: nearest neighbours and their distance in Å.
Sites, in units of the cell vectors:
Zr: 0.0000 0.0000 0.2500  12 Be 2.64-2.79
Zr: 0.0000 0.0000 0.7500  12 Be 2.64-2.79
Be: 0.3333 0.6667 0.0195  3 Be 2.21
Be: 0.3333 0.6667 0.4805  3 Be 2.21
Be: 0.6667 0.3333 0.5195  3 Be 2.21
Be: 0.6667 0.3333 0.9805  3 Be 2.21

## Properties
Formation enthalpy at 0 K = -19.6 kJ per mole of atoms
Crystal system = hexagonal
SG = No. 194



[4]
The following is a meta-GGA SCAN calculation of BiBr at its PBEsol-relaxed geometry, from Alexandria via LeMat-Bulk.

a b c (Å): 7.1523 7.1523 10.3642
angles (deg): 101.60 101.60 34.39
Last column: nearest neighbours and their distance in Å.
Sites, in units of the cell vectors:
Bi: 0.1704 0.1704 0.4849  3 Bi 3.00-3.05
Bi: 0.1756 0.1756 0.7803  4 Br 2.91, 1 Bi 3.05
Bi: 0.8244 0.8244 0.2197  4 Br 2.91, 1 Bi 3.05
Bi: 0.8296 0.8296 0.5151  3 Bi 3.00-3.05
Br: 0.1772 0.1772 0.1413  2 Bi 2.91
Br: 0.4728 0.4728 0.2826  2 Bi 2.91
Br: 0.5272 0.5272 0.7174  2 Bi 2.91
Br: 0.8228 0.8228 0.8587  2 Bi 2.91

## Properties
Formation energy without anion corrections = -0.400 eV/atom
Crystal system = monoclinic
SG = No. 12